1.
## Ba3CuN (PBE)

Data for an optimized crystal structure of Ba3CuN.

a = 7.352 Å, b = 7.359 Å, c = 8.594 Å
α = 64.80°, β = 64.90°, γ = 60.09°
Sites, in units of the cell vectors:
Ba1 0.059 0.295 0.213
Ba2 0.205 0.066 0.788
Ba3 0.434 0.560 0.212
Ba4 0.566 0.440 0.788
Ba5 0.795 0.934 0.212
Ba6 0.941 0.705 0.787
Cu1 0.347 0.847 0.461
Cu2 0.653 0.153 0.539
N1 0.161 0.662 0.016
N2 0.839 0.338 0.984

Computed properties:
total DFT energy (no corrections): -3.774 eV/atom
DOS(E_F): 3.9 states/eV/cell
total magnetization: 0.0 μB per formula unit
space group: P-1 (2)
ΔE_f (raw): -0.1358 eV per atom


2.
## MnBePd (PBE)

Data for an optimized crystal structure of MnBePd.

a = 5.111 Å, b = 3.927 Å, c = 7.353 Å
α = 90.00°, β = 90.00°, γ = 90.00°
Sites, in units of the cell vectors:
Mn1 0.036 0.250 0.221
Mn2 0.464 0.750 0.721
Mn3 0.536 0.250 0.279
Mn4 0.964 0.750 0.779
Be1 0.214 0.250 0.895
Be2 0.286 0.750 0.395
Be3 0.714 0.250 0.605
Be4 0.786 0.750 0.105
Pd1 0.191 0.250 0.567
Pd2 0.309 0.750 0.067
Pd3 0.691 0.250 0.933
Pd4 0.809 0.750 0.433

Computed properties:
total DFT energy (no corrections): -6.257 eV/atom
DOS(E_F): 5.4 states/eV/cell
total magnetization: 3.4 μB per formula unit
space group: Pnma (62)
calculated formation energy: -0.2276 eV per atom